Entry 1:
VASP calculation (PBE) on crystalline PN at its relaxed geometry.

Lattice parameters (Å, degrees): 2.6698 3.5347 6.8715 90.00 90.00 90.00
Closest atoms and distances in Å follow each position.
Positions (direct):
P1 0.2500 0.2500 0.1718  2 N 1.63
P2 0.7500 0.7500 0.8282  2 N 1.63
N1 0.2500 0.7500 0.6909  2 P 1.63
N2 0.7500 0.2500 0.3091  2 P 1.63

=====

Entry 2:
VASP calculation (PBE) on crystalline P3N at its relaxed geometry.

Lattice parameters (Å, degrees): 3.2598 5.1357 5.4401 94.49 106.94 108.40
Closest atoms and distances in Å follow each position.
Positions (direct):
P1 0.0000 0.0000 0.0000  1 N 1.59
P2 0.0089 0.3885 0.6200  1 N 1.69
P3 0.6528 0.6898 0.6073  3 P 2.20-2.30
N1 0.1081 0.2977 0.9179  2 P 1.59-1.69

=====

Entry 3:
VASP calculation (PBE) on crystalline PN at its relaxed geometry.

Lattice parameters (Å, degrees): 2.2255 3.3849 3.7236 90.00 91.06 90.00
Closest atoms and distances in Å follow each position.
Positions (direct):
P1 0.0000 0.0000 0.0000  2 N 1.69
N1 0.0000 0.5000 0.0000  2 P 1.69

=====

Entry 4:
VASP calculation (PBE) on crystalline P3N at its relaxed geometry.

Lattice parameters (Å, degrees): 4.2317 4.3829 4.5717 61.40 69.60 79.60
Closest atoms and distances in Å follow each position.
Positions (direct):
P1 0.0000 0.0000 0.0000  1 N 1.77
P2 0.1320 0.3702 0.4506  1 N 1.74
P3 0.5062 0.9344 0.4217  1 N 1.75
N1 0.2700 0.7928 0.2648  3 P 1.74-1.77

=====

Number 1: energy above the most stable polymorph in this dataset 0.3782 eV per atom, formation energy (no corrections) 0.36 eV/atom, final energy -6.51 eV per atom. Number 2: energy above the most stable polymorph in this dataset 0.0858 eV per atom, formation energy (no corrections) 0.29 eV/atom, final energy -5.85 eV per atom. Number 3: energy above the most stable polymorph in this dataset 0.9982 eV per atom, formation energy (no corrections) 0.98 eV/atom, final energy -5.89 eV per atom. Number 4: energy above the most stable polymorph in this dataset 0.1594 eV per atom, formation energy (no corrections) 0.36 eV/atom, final energy -5.78 eV per atom.